No. 1
5
Lattice="5.162 0.000 0.000 0.000 5.162 0.000 0.000 0.000 5.162" Properties=species:S:1:pos:R:3 comment="LaHg3Au SCAN PBEsol geometry" total_magnetization_mub_per_cell=0.000 rho_g_cm3=11.32 energy_ha_per_atom=-2.3329 ef_mev_per_atom=-131 pbc="T T T"
Hg 2.581 0.000 0.000
Hg 0.000 0.000 2.581
Hg 0.000 2.581 0.000
Au 0.000 0.000 0.000
La 2.581 2.581 2.581

No. 2
10
Lattice="-0.427 0.346 -2.738 -7.542 -0.715 1.085 -0.566 7.560 1.043" Properties=species:S:1:pos:R:3 comment="Li2HgAu2 SCAN PBEsol geometry" total_magnetization_mub_per_cell=0.000 rho_g_cm3=12.35 energy_ha_per_atom=-1.5688 ef_mev_per_atom=-438 pbc="T T T"
Li -6.752 4.339 1.600
Li -1.357 2.507 0.528
Li -3.090 6.150 1.258
Li -5.019 0.696 0.870
Au -3.013 0.967 -0.833
Au -6.910 2.285 -0.059
Au -5.522 6.224 0.222
Au -1.625 4.906 -0.552
Hg -4.054 3.423 1.064
Hg 0.000 0.000 0.000

No. 3
3
Lattice="2.846 0.000 0.000 0.000 4.566 0.000 0.000 -2.283 3.954" Properties=species:S:1:pos:R:3 comment="LiHgAu SCAN PBEsol geometry" total_magnetization_mub_per_cell=0.000 rho_g_cm3=13.07 energy_ha_per_atom=-1.7239 e_above_lowest_polymorph_mev_per_atom=53 ef_mev_per_atom=-338 pbc="T T T"
Li 0.888 2.283 1.318
Au 0.139 0.000 0.000
Hg 1.818 0.000 2.636

No. 4
6
Lattice="-2.608 2.611 4.001 1.692 -0.523 5.147 2.385 4.194 2.520" Properties=species:S:1:pos:R:3 comment="LiHgAu4 SCAN PBEsol geometry" total_magnetization_mub_per_cell=0.000 rho_g_cm3=14.49 energy_ha_per_atom=-2.1345 ef_mev_per_atom=-219 pbc="T T T"
Au 1.397 2.094 6.950
Au 0.551 2.355 4.375
Au 1.744 4.454 5.636
Au -0.754 3.662 6.376
Li 0.000 0.000 0.000
Hg 1.101 4.712 8.751

No. 5
3
Lattice="-2.115 -1.608 1.479 -1.090 -1.546 -3.241 4.558 -1.760 1.479" Properties=species:S:1:pos:R:3 comment="LiHgAu SCAN PBEsol geometry" total_magnetization_mub_per_cell=0.000 rho_g_cm3=13.09 energy_ha_per_atom=-1.7258 e_above_lowest_polymorph_mev_per_atom=0 ef_mev_per_atom=-391 pbc="T T T"
Hg -0.589 -2.722 -0.676
Au 1.277 -4.828 -0.298
Li 2.019 -2.279 0.409

No. 6
3
Lattice="-3.110 -0.955 -1.386 1.010 -3.388 0.070 -0.647 1.750 4.757" Properties=species:S:1:pos:R:3 comment="MgHgAu SCAN PBEsol geometry" total_magnetization_mub_per_cell=0.000 rho_g_cm3=12.57 energy_ha_per_atom=-1.7592 e_above_lowest_polymorph_mev_per_atom=0 ef_mev_per_atom=-437 pbc="T T T"
Hg -1.128 -0.280 2.724
Mg -1.592 -2.306 0.651
Au -0.027 -0.007 0.066